Record 1
Below is a geometry-optimized Hf3Fe2Pd structure, with properties calculated at the PBE level.

**ΔH_f (0 K)**: -0.43 eV/atom
**E_tot**: -54.55 eV/cell

a = 3.119 Å, b = 3.119 Å, c = 10.113 Å
α = 90.00°, β = 90.00°, γ = 90.00°
Each line ends with the local moment (μB).
Element x y z (fractional)
1 Fe 0.500 0.500 0.842  0.27
2 Fe 0.500 0.500 0.158  0.27
3 Hf 0.000 0.000 0.000  -0.08
4 Hf 0.000 0.000 0.687  -0.05
5 Hf 0.000 0.000 0.313  -0.05
6 Pd 0.500 0.500 0.500  -0.01


Record 2
Below is a geometry-optimized MnSiSnIrS structure, with properties calculated at the PBE level.

**E_form (uncorrected)**: -0.238 eV per atom
**E_tot**: -65.55 eV/cell

a = 7.636 Å, b = 3.635 Å, c = 6.342 Å
α = 90.00°, β = 105.87°, γ = 90.00°
Element x y z (fractional)
1 Ir 0.803 0.000 0.104
2 Ir 0.803 0.500 0.604
3 Si 0.960 0.000 0.488
4 Si 0.960 0.500 0.988
5 Sn 0.560 0.500 0.857
6 Sn 0.560 0.000 0.357
7 Mn 0.176 0.000 0.229
8 Mn 0.176 0.500 0.729
9 S 0.234 0.500 0.416
10 S 0.234 0.000 0.916